(1)
Here is a relaxed SrLi2CuSi crystal from Alexandria. Energies are from PBE.

Lattice parameters (Å, degrees): 4.8383 4.8383 4.4880 90.00 90.00 90.00
Last column: nearest neighbours and their distance in Å.
Atoms (fractional coordinates):
Sr 0.0000 0.0000 0.0000  8 Li 3.30, 4 Si 3.42
Li 0.0000 0.5000 0.5000  2 Cu 2.42
Li 0.5000 0.0000 0.5000  2 Cu 2.42
Cu 0.5000 0.5000 0.5000  2 Si 2.24, 4 Li 2.42
Si 0.5000 0.5000 0.0000  2 Cu 2.24

Calculated values
Space-group type: P4/mmm, No. 123

(2)
Here is a relaxed Sr2LiCu12Si3 crystal from Alexandria. Energies are from PBE.

Lattice parameters (Å, degrees): 7.5196 7.5196 7.5196 75.12 75.12 75.12
Last column: nearest neighbours and their distance in Å.
Atoms (fractional coordinates):
Sr 0.1865 0.1865 0.1865  3 Cu 2.99
Sr 0.8135 0.8135 0.8135  3 Cu 2.99
Li 0.5000 0.5000 0.5000  12 Cu 2.35-2.56
Cu 0.1827 0.6190 0.6190  1 Si 2.27, 1 Li 2.35, 2 Cu 2.46
Cu 0.2746 0.2746 0.5722  2 Si 2.40, 3 Cu 2.55-2.60, 1 Li 2.56
Cu 0.2746 0.5722 0.2746  2 Si 2.40, 3 Cu 2.55-2.60, 1 Li 2.56
Cu 0.3810 0.3810 0.8173  1 Si 2.27, 1 Li 2.35, 2 Cu 2.46
Cu 0.3810 0.8173 0.3810  1 Si 2.27, 1 Li 2.35, 2 Cu 2.46
Cu 0.4278 0.7254 0.7254  2 Si 2.40, 3 Cu 2.55-2.60, 1 Li 2.56
Cu 0.5722 0.2746 0.2746  2 Si 2.40, 3 Cu 2.55-2.60, 1 Li 2.56
Cu 0.6190 0.1827 0.6190  1 Si 2.27, 1 Li 2.35, 2 Cu 2.46
Cu 0.6190 0.6190 0.1827  1 Si 2.27, 1 Li 2.35, 2 Cu 2.46
Cu 0.7254 0.4278 0.7254  2 Si 2.40, 3 Cu 2.55-2.60, 1 Li 2.56
Cu 0.7254 0.7254 0.4278  2 Si 2.40, 3 Cu 2.55-2.60, 1 Li 2.56
Cu 0.8173 0.3810 0.3810  1 Si 2.27, 1 Li 2.35, 2 Cu 2.46
Si 0.0000 0.5000 0.5000  6 Cu 2.27-2.40
Si 0.5000 0.0000 0.5000  6 Cu 2.27-2.40
Si 0.5000 0.5000 0.0000  6 Cu 2.27-2.40

Calculated values
Space-group type: R-3m, No. 166

(3)
Here is a relaxed SrLiCu2Si crystal from Alexandria. Energies are from PBE.

Lattice parameters (Å, degrees): 4.5745 4.5745 4.7910 90.00 90.00 90.00
Last column: nearest neighbours and their distance in Å.
Atoms (fractional coordinates):
Sr 0.0000 0.0000 0.0000  4 Li 3.23, 8 Cu 3.31
Li 0.5000 0.5000 0.0000  2 Si 2.40
Cu 0.0000 0.5000 0.5000  2 Si 2.29
Cu 0.5000 0.0000 0.5000  2 Si 2.29
Si 0.5000 0.5000 0.5000  4 Cu 2.29, 2 Li 2.40

Calculated values
Space-group type: P4/mmm, No. 123

Number 1: size of the total moment 0.092 μB per atom, formation energy from raw total energies -107 meV per atom. Number 2: size of the total moment 0.000 μB per atom, formation energy from raw total energies 211 meV per atom. Number 3: size of the total moment 0.000 μB per atom, formation energy from raw total energies -90 meV per atom.